This record from Alexandria describes crystalline Li6CoCl8 at its relaxed geometry. The functional is PBE-GGA.

Lattice parameters (Å, degrees): 7.2873 7.2873 7.2873 60.00 60.00 60.00
Positions (direct):
Li 0.0000 0.0000 0.5000
Li 0.0000 0.5000 0.0000
Li 0.0000 0.5000 0.5000
Li 0.5000 0.0000 0.0000
Li 0.5000 0.0000 0.5000
Li 0.5000 0.5000 0.0000
Co 0.0000 0.0000 0.0000
Cl 0.2376 0.2376 0.7624
Cl 0.2376 0.7624 0.2376
Cl 0.2376 0.7624 0.7624
Cl 0.2500 0.2500 0.2500
Cl 0.7500 0.7500 0.7500
Cl 0.7624 0.2376 0.2376
Cl 0.7624 0.2376 0.7624
Cl 0.7624 0.7624 0.2376

Properties
Calculated density, g/cm³: 2.33
Space-group type: Fm-3m
Size of the total moment, μB per formula unit: 3.000
Final energy, eV per atom: -3.769